[1]
Na2ScSbH: relaxed, PBE.

Results
The volume is 19.15 A^3/atom. The calculation puts the density of states at the Fermi level at 2.68 states/eV/f.u. Its total energy is -18.2 eV for the cell shown. The spin magnetization is 0.0 μB/cell.

Cell lengths 4.4260, 4.4260, 4.8869 Å; angles 90.00, 90.00, 90.00 degrees
Last column: nearest neighbours and their distance in Å.
Fractional positions:
Na 0.0000 0.5000 0.0000  2 H 2.21
Na 0.5000 0.0000 0.0000  2 H 2.21
Sc 0.0000 0.0000 0.5000  2 H 2.44
Sb 0.5000 0.5000 0.5000  4 Sc 3.13, 8 Na 3.30
H 0.0000 0.0000 0.0000  4 Na 2.21, 2 Sc 2.44



[2]
NpZnNiRh: relaxed, PBE.

Results
The volume is 16.51 A^3/atom. The calculation puts the density of states at the Fermi level at 7.27 states/eV/f.u. The calculated formation energy comes out at -3.54 kcal/mol of atoms. The spin magnetization is 12.7 μB/cell.

Cell lengths 6.4158, 6.4158, 6.4158 Å; angles 90.00, 90.00, 90.00 degrees
Last column: nearest neighbours and their distance in Å.
Fractional positions:
Np 0.0000 0.0000 0.0000  4 Ni 2.78, 4 Rh 2.78
Np 0.0000 0.5000 0.5000  4 Ni 2.78, 4 Rh 2.78
Np 0.5000 0.0000 0.5000  4 Ni 2.78, 4 Rh 2.78
Np 0.5000 0.5000 0.0000  4 Ni 2.78, 4 Rh 2.78
Zn 0.0000 0.0000 0.5000  4 Rh 2.78, 4 Ni 2.78
Zn 0.0000 0.5000 0.0000  4 Rh 2.78, 4 Ni 2.78
Zn 0.5000 0.0000 0.0000  4 Rh 2.78, 4 Ni 2.78
Zn 0.5000 0.5000 0.5000  4 Rh 2.78, 4 Ni 2.78
Ni 0.2500 0.2500 0.7500  4 Np 2.78, 4 Zn 2.78
Ni 0.2500 0.7500 0.2500  4 Np 2.78, 4 Zn 2.78
Ni 0.7500 0.2500 0.2500  4 Np 2.78, 4 Zn 2.78
Ni 0.7500 0.7500 0.7500  4 Np 2.78, 4 Zn 2.78
Rh 0.2500 0.2500 0.2500  4 Np 2.78, 4 Zn 2.78
Rh 0.2500 0.7500 0.7500  4 Np 2.78, 4 Zn 2.78
Rh 0.7500 0.2500 0.7500  4 Np 2.78, 4 Zn 2.78
Rh 0.7500 0.7500 0.2500  4 Np 2.78, 4 Zn 2.78



[3]
BaHfZr2Ir: relaxed, PBE.

Results
The volume is 28.53 A^3/atom. The calculation puts the density of states at the Fermi level at 6.63 states/eV/f.u. The calculated formation energy comes out at 2.84 kcal/mol of atoms. The energy relative to the lowest polymorph listed for this composition is 0.000 eV per atom. The spin magnetization is 0.0 μB/cell.

Cell lengths 5.2560, 5.2560, 5.1632 Å; angles 90.00, 90.00, 90.00 degrees
Last column: nearest neighbours and their distance in Å.
Fractional positions:
Ba 0.0000 0.0000 0.0000  8 Zr 3.68, 4 Hf 3.72
Hf 0.5000 0.5000 0.0000  2 Ir 2.58
Zr 0.0000 0.5000 0.5000  2 Ir 2.63
Zr 0.5000 0.0000 0.5000  2 Ir 2.63
Ir 0.5000 0.5000 0.5000  2 Hf 2.58, 4 Zr 2.63



[4]
CdSi2Ni: relaxed, PBE.

Results
The volume is 15.26 A^3/atom. The calculation puts the density of states at the Fermi level at 1.93 states/eV/f.u. The spin magnetization is 0.0 μB/cell. The calculation puts the uncorrected formation energy at 0.345 eV/atom.

Cell lengths 3.9277, 3.9277, 7.9137 Å; angles 90.00, 90.00, 90.00 degrees
Last column: nearest neighbours and their distance in Å.
Fractional positions:
Cd 0.0000 0.0000 0.0000  8 Si 2.78-2.79, 4 Ni 2.79
Cd 0.5000 0.5000 0.5000  8 Si 2.78-2.79, 4 Ni 2.79
Si 0.0000 0.0000 0.5000  4 Cd 2.78, 4 Ni 2.79, 4 Si 2.79
Si 0.0000 0.5000 0.2500  4 Ni 2.78, 4 Cd 2.79, 4 Si 2.79
Si 0.5000 0.0000 0.7500  4 Ni 2.78, 4 Cd 2.79, 4 Si 2.79
Si 0.5000 0.5000 0.0000  4 Cd 2.78, 4 Ni 2.79, 4 Si 2.79
Ni 0.0000 0.5000 0.7500  8 Si 2.78-2.79, 4 Cd 2.79
Ni 0.5000 0.0000 0.2500  8 Si 2.78-2.79, 4 Cd 2.79



[5]
MnTePt2: relaxed, PBE.

Results
The volume is 17.65 A^3/atom. The calculation puts the density of states at the Fermi level at 2.81 states/eV/f.u. The spin magnetization is 8.2 μB/cell. The calculation puts the uncorrected formation energy at -0.072 eV/atom.

Cell lengths 8.8190, 3.6782, 4.5341 Å; angles 90.00, 106.25, 90.00 degrees
Last column: nearest neighbours and their distance in Å.
Fractional positions:
Mn 0.0000 0.0000 0.0000  6 Pt 2.73-2.83, 4 Te 2.92
Mn 0.5000 0.5000 0.0000  6 Pt 2.73-2.83, 4 Te 2.92
Te 0.0000 0.5000 0.5000  6 Pt 2.77-2.88, 4 Mn 2.92
Te 0.5000 0.0000 0.5000  6 Pt 2.77-2.88, 4 Mn 2.92
Pt 0.2477 0.5000 0.2359  3 Mn 2.73-2.83, 3 Te 2.77-2.88, 4 Pt 2.83-3.01
Pt 0.2523 0.0000 0.7641  3 Mn 2.73-2.83, 3 Te 2.77-2.88, 4 Pt 2.83-3.01
Pt 0.7477 0.0000 0.2359  3 Mn 2.73-2.83, 3 Te 2.77-2.88, 4 Pt 2.83-3.01
Pt 0.7523 0.5000 0.7641  3 Mn 2.73-2.83, 3 Te 2.77-2.88, 4 Pt 2.83-3.01



[6]
SrLaSbI: relaxed, PBE.

Results
The volume is 42.94 A^3/atom. The calculation puts the density of states at the Fermi level at 2.09 states/eV/f.u. The spin magnetization is 0.7 μB/cell. The calculation puts the uncorrected formation energy at -1.171 eV/atom.

Cell lengths 16.2507, 16.2507, 16.2507 Å; angles 17.63, 17.63, 17.63 degrees
Last column: nearest neighbours and their distance in Å.
Fractional positions:
Sr 0.0925 0.0925 0.0925  3 I 3.33, 3 Sb 3.49
Sr 0.9075 0.9075 0.9075  3 I 3.33, 3 Sb 3.49
La 0.3094 0.3094 0.3094  3 Sb 3.16
La 0.6906 0.6906 0.6906  3 Sb 3.16
Sb 0.3845 0.3845 0.3845  3 La 3.16, 3 Sr 3.49
Sb 0.6155 0.6155 0.6155  3 La 3.16, 3 Sr 3.49
I 0.2058 0.2058 0.2058  3 Sr 3.33
I 0.7942 0.7942 0.7942  3 Sr 3.33



[7]
LiScRu2: relaxed, PBE.

Results
The volume is 15.01 A^3/atom. The calculation puts the density of states at the Fermi level at 4.75 states/eV/f.u. The calculated formation energy comes out at -0.21 kcal/mol of atoms. The spin magnetization is 1.0 μB/cell.

Cell lengths 3.8125, 3.8125, 4.1294 Å; angles 90.00, 90.00, 90.00 degrees
Last column: nearest neighbours and their distance in Å.
Fractional positions:
Li 0.0000 0.0000 0.0000  4 Sc 2.70, 8 Ru 2.81
Sc 0.5000 0.5000 0.0000  4 Li 2.70, 8 Ru 2.81
Ru 0.0000 0.5000 0.5000  4 Ru 2.70, 4 Sc 2.81, 4 Li 2.81
Ru 0.5000 0.0000 0.5000  4 Ru 2.70, 4 Sc 2.81, 4 Li 2.81



[8]
Ta2TlSb: relaxed, PBE.

Results
The volume is 20.71 A^3/atom. The calculation puts the density of states at the Fermi level at 2.00 states/eV/f.u. The energy relative to the lowest polymorph listed for this composition is 0.258 eV per atom. The spin magnetization is 0.0 μB/cell. The calculation puts the uncorrected formation energy at 0.488 eV/atom.

Cell lengths 3.5123, 5.0934, 9.2611 Å; angles 90.00, 90.00, 90.00 degrees
Last column: nearest neighbours and their distance in Å.
Fractional positions:
Ta 0.0000 0.0000 0.2437  2 Sb 2.86, 2 Tl 2.95, 4 Ta 3.10
Ta 0.0000 0.0000 0.7563  2 Sb 2.86, 2 Tl 2.95, 4 Ta 3.10
Ta 0.5000 0.5000 0.2563  2 Sb 2.86, 2 Tl 2.95, 4 Ta 3.10
Ta 0.5000 0.5000 0.7437  2 Sb 2.86, 2 Tl 2.95, 4 Ta 3.10
Tl 0.0000 0.5000 0.0000  4 Ta 2.95, 4 Sb 3.09
Tl 0.5000 0.0000 0.5000  4 Ta 2.95, 4 Sb 3.09
Sb 0.0000 0.5000 0.5000  4 Ta 2.86, 4 Tl 3.09
Sb 0.5000 0.0000 0.0000  4 Ta 2.86, 4 Tl 3.09



[9]
Ti2Cd2Hg: relaxed, PBE.

Results
The volume is 19.91 A^3/atom. The calculation puts the density of states at the Fermi level at 3.92 states/eV/f.u. The calculated formation energy comes out at 5.25 kcal/mol of atoms. The energy relative to the lowest polymorph listed for this composition is 0.000 eV per atom. The spin magnetization is 0.0 μB/cell.

Cell lengths 7.7691, 7.7691, 3.2991 Å; angles 90.00, 90.00, 90.00 degrees
Last column: nearest neighbours and their distance in Å.
Fractional positions:
Ti 0.1689 0.3311 0.0000  6 Cd 2.76-2.86
Ti 0.3311 0.8311 0.0000  6 Cd 2.76-2.86
Ti 0.6689 0.1689 0.0000  6 Cd 2.76-2.86
Ti 0.8311 0.6689 0.0000  6 Cd 2.76-2.86
Cd 0.1297 0.6297 0.5000  6 Ti 2.76-2.86, 1 Cd 2.85, 2 Hg 3.05
Cd 0.3703 0.1297 0.5000  6 Ti 2.76-2.86, 1 Cd 2.85, 2 Hg 3.05
Cd 0.6297 0.8703 0.5000  6 Ti 2.76-2.86, 1 Cd 2.85, 2 Hg 3.05
Cd 0.8703 0.3703 0.5000  6 Ti 2.76-2.86, 1 Cd 2.85, 2 Hg 3.05
Hg 0.0000 0.0000 0.5000  4 Cd 3.05, 2 Hg 3.30, 8 Ti 3.33
Hg 0.5000 0.5000 0.5000  4 Cd 3.05, 2 Hg 3.30, 8 Ti 3.33



[10]
TaRe2Pt: relaxed, PBE.

Results
The volume is 16.02 A^3/atom. The calculation puts the density of states at the Fermi level at 3.66 states/eV/f.u. The calculated formation energy comes out at -0.23 kcal/mol of atoms. The energy relative to the lowest polymorph listed for this composition is 0.268 eV per atom. The spin magnetization is 0.0 μB/cell.

Cell lengths 2.7320, 4.7216, 4.9770 Å; angles 90.00, 93.30, 90.00 degrees
Last column: nearest neighbours and their distance in Å.
Fractional positions:
Ta 0.0000 0.0000 0.0000  2 Ta 2.73, 4 Pt 2.77-2.91, 4 Re 2.81
Re 0.3139 0.5000 0.7546  4 Re 2.59-2.78, 2 Pt 2.74, 2 Ta 2.81
Re 0.6861 0.5000 0.2454  4 Re 2.59-2.78, 2 Pt 2.74, 2 Ta 2.81
Pt 0.5000 0.0000 0.5000  2 Pt 2.73, 4 Re 2.74, 4 Ta 2.77-2.91